Entry 1:
A plane-wave DFT calculation with PBE was carried out for a relaxed EuHoZnGe crystal.

## Properties
Its volume is 23.79 A^3/atom. Its energy relative to the elements is -0.472 eV per atom. The total energy is -5.6583 eV per atom.

The structure in POSCAR format:
```
EuHoZnGe
1.0
0.000 3.624 3.624
3.624 0.000 3.624
3.624 3.624 0.000
Eu Ho Zn Ge
1 1 1 1
direct
0.000 0.000 0.000
0.500 0.500 0.500
0.250 0.250 0.250
0.750 0.750 0.750
```

---

Entry 2:
A plane-wave DFT calculation with PBE was carried out for a relaxed Cu2HgC crystal.

## Properties
For the relative energy among the computed polymorphs, the calculation gives 572 meV/atom. Its volume is 13.63 A^3/atom. Its energy relative to the elements is 1.408 eV per atom. The total energy is -3.0211 eV per atom.

The structure in POSCAR format:
```
Cu2HgC
1.0
0.000 3.009 3.009
3.009 0.000 3.009
3.009 3.009 0.000
Cu Hg C
2 1 1
direct
0.250 0.250 0.250
0.750 0.750 0.750
0.000 0.000 0.000
0.500 0.500 0.500
```

---

Entry 3:
A plane-wave DFT calculation with PBE was carried out for a relaxed CsDyInSe3 crystal.

## Properties
Its volume is 35.00 A^3/atom. The total energy is -4.3972 eV per atom. For the raw formation energy, the calculation gives -1289 meV/atom.

The structure in POSCAR format:
```
CsDyInSe3
1.0
9.323 0.000 0.000
0.000 4.129 0.000
-3.988 0.000 10.911
Cs Dy In Se
2 2 2 6
direct
0.234 0.250 0.272
0.766 0.750 0.728
0.357 0.750 0.856
0.643 0.250 0.144
0.130 0.250 0.581
0.870 0.750 0.419
0.122 0.250 0.807
0.327 0.750 0.591
0.421 0.750 0.112
0.579 0.250 0.888
0.673 0.250 0.409
0.878 0.750 0.193
```

---

Entry 4:
A plane-wave DFT calculation with PBE was carried out for a relaxed Rb12Hg crystal.

## Properties
Its volume is 81.51 A^3/atom. Its energy relative to the elements is 0.002 eV per atom. The total energy is -0.9146 eV per atom.

The structure in POSCAR format:
```
Rb12Hg
1.0
-6.423 6.423 6.423
6.423 -6.423 6.423
6.423 6.423 -6.423
Rb Hg
12 1
direct
0.131 0.306 0.825
0.175 0.480 0.306
0.175 0.869 0.694
0.306 0.175 0.480
0.306 0.825 0.131
0.480 0.306 0.175
0.520 0.694 0.825
0.694 0.175 0.869
0.694 0.825 0.520
0.825 0.131 0.306
0.825 0.520 0.694
0.869 0.694 0.175
0.000 0.000 0.000
```